# 1
The following is a GGA-PBE calculation of a geometry-optimized Th4TcAu structure, from the Alexandria database.

CIF file:
```
data_Th4TcAu
_chemical_formula_sum 'Th8 Tc2 Au2'
_cell_length_a 7.271
_cell_length_b 7.271
_cell_length_c 6.193
_cell_angle_alpha 90.00
_cell_angle_beta 90.00
_cell_angle_gamma 90.00
_space_group_name_H-M_alt 'P 4/m c c'
_space_group_IT_number 124
_space_group_name_Hall '-P 4 2c'
loop_
_atom_site_label
_atom_site_type_symbol
_atom_site_fract_x
_atom_site_fract_y
_atom_site_fract_z
Th1 Th 0.152 0.322 0.000
Tc1 Tc 0.000 0.000 0.250
Au1 Au 0.500 0.500 0.250
```

Summary:
The calculated density comes out at 12.41 g/cm3. The offset from the most stable computed form comes out at 0 meV/atom. For the formation energy, the calculation gives -0.312 eV per atom.

=====

# 2
The following is a GGA-PBE calculation of a geometry-optimized ThTcAu structure, from the Alexandria database.

CIF file:
```
data_ThTcAu
_chemical_formula_sum 'Th2 Tc2 Au2'
_cell_length_a 4.1527
_cell_length_b 4.1527
_cell_length_c 9.5797
_cell_angle_alpha 90.00
_cell_angle_beta 90.00
_cell_angle_gamma 120.00
_space_group_name_H-M_alt 'P -3 m 1'
_space_group_IT_number 164
_space_group_name_Hall '-P 3 2"'
loop_
_atom_site_label
_atom_site_type_symbol
_atom_site_fract_x
_atom_site_fract_y
_atom_site_fract_z
Th1 Th 0.0000 0.0000 0.2213
Tc1 Tc 0.3333 0.6667 0.9673
Au1 Au 0.3333 0.6667 0.4231
```

Summary:
The calculated density comes out at 12.23 g/cm3. For the formation energy, the calculation gives -0.310 eV per atom.

=====

# 3
The following is a GGA-PBE calculation of a geometry-optimized Th5TcAu2 structure, from the Alexandria database.

CIF file:
```
data_Th5TcAu2
_chemical_formula_sum 'Th10 Tc2 Au4'
_cell_length_a 8.179
_cell_length_b 11.756
_cell_length_c 4.604
_cell_angle_alpha 90.00
_cell_angle_beta 90.00
_cell_angle_gamma 90.00
_space_group_name_H-M_alt 'P b a m'
_space_group_IT_number 55
loop_
_space_group_symop_operation_xyz
'x,y,z'
'-x,-y,-z'
'-x,-y,z'
'x,y,-z'
'x+1/2,-y+1/2,-z'
'-x+1/2,y+1/2,z'
'-x+1/2,y+1/2,-z'
'x+1/2,-y+1/2,z'
loop_
_atom_site_label
_atom_site_type_symbol
_atom_site_fract_x
_atom_site_fract_y
_atom_site_fract_z
Th1 Th 0.000 0.000 0.000
Th2 Th 0.139 0.288 0.000
Th3 Th 0.192 0.571 0.500
Tc1 Tc 0.000 0.500 0.000
Au1 Au 0.091 0.826 0.500
```

Summary:
The calculated density comes out at 12.39 g/cm3. For the formation energy, the calculation gives -0.377 eV per atom.

=====

# 4
The following is a GGA-PBE calculation of a geometry-optimized Th2TcAu structure, from the Alexandria database.

CIF file:
```
data_Th2TcAu
_chemical_formula_sum 'Th2 Tc1 Au1'
_cell_length_a 3.516
_cell_length_b 3.516
_cell_length_c 7.868
_cell_angle_alpha 90.00
_cell_angle_beta 90.00
_cell_angle_gamma 90.00
_space_group_name_H-M_alt 'P 4/m m m'
_space_group_IT_number 123
_space_group_name_Hall '-P 4 2'
loop_
_atom_site_label
_atom_site_type_symbol
_atom_site_fract_x
_atom_site_fract_y
_atom_site_fract_z
Th1 Th 0.000 0.000 0.227
Tc1 Tc 0.500 0.500 0.000
Au1 Au 0.500 0.500 0.500
```

Summary:
The calculated density comes out at 12.96 g/cm3. The offset from the most stable computed form comes out at 0 meV/atom. For the formation energy, the calculation gives -0.357 eV per atom.